{
  "formula": "K3Y2PuO6",
  "functional": "PBE-GGA",
  "state": "relaxed",
  "spacegroup": "No. 12",
  "volume_a3_per_cell": 202.4,
  "raw_formation_energy_kj_per_mol_atoms": -251,
  "e_tot_ev_per_atom": -7.627,
  "lattice": [[-5.3897, -0.0845, -2.8700], [0.8454, -3.3890, 5.0093], [-0.4539, 5.9253, 2.8442]],
  "species": ["Y", "Y", "Pu", "O", "O", "O", "O", "O", "O", "K", "K", "K"],
  "fractional_positions": [[0.6666, 0.3334, 0.0000], [0.3334, 0.6666, 0.0000], [0.0000, 0.0000, 0.0000], [0.5993, 0.9376, 0.8130], [0.7240, 0.7240, 0.1871], [0.9376, 0.5993, 0.8130], [0.4007, 0.0624, 0.1870], [0.2760, 0.2760, 0.8129], [0.0624, 0.4007, 0.1870], [0.8325, 0.1675, 0.5000], [0.1675, 0.8325, 0.5000], [0.5000, 0.5000, 0.5000]]
}